Entry 1:
Entry from the Alexandria database: a relaxed structure of SrReNO2 (GGA-PBE).

- Symmetry: P4/mmm
- Size of the total moment: 2.65 μB per formula unit
- Calculated total energy: -5.003 eV per atom
- Mass density: 5.63 g cm⁻³

Structure (POSCAR):
```
SrReNO2
1.0
4.468 0.000 0.000
0.000 4.468 0.000
0.000 0.000 4.727
Sr Re N O
1 1 1 2
direct
0.000 0.000 0.000
0.500 0.500 0.500
0.000 0.000 0.500
0.000 0.500 0.000
0.500 0.000 0.000
```

Entry 2:
Entry from the Alexandria database: a relaxed structure of InNiW (GGA-PBE).

- DFT formation energy: 531 meV per atom
- Symmetry: F-43m
- Size of the total moment: 0.75 μB per formula unit
- Calculated total energy: -6.627 eV per atom
- Mass density: 11.35 g cm⁻³

Structure (POSCAR):
```
InNiW
1.0
5.935 0.000 0.000
0.000 5.935 0.000
0.000 0.000 5.935
In Ni W
4 4 4
direct
0.000 0.000 0.000
0.000 0.500 0.500
0.500 0.000 0.500
0.500 0.500 0.000
0.250 0.250 0.750
0.250 0.750 0.250
0.750 0.250 0.250
0.750 0.750 0.750
0.000 0.000 0.500
0.000 0.500 0.000
0.500 0.000 0.000
0.500 0.500 0.500
```

Entry 3:
Entry from the Alexandria database: a relaxed structure of P2PbCl (GGA-PBE).

- Symmetry: P2/m
- Size of the total moment: 0.00 μB per formula unit
- Calculated total energy: -4.258 eV per atom
- Mass density: 4.91 g cm⁻³

Structure (POSCAR):
```
P2PbCl
1.0
3.387 0.000 0.000
0.000 6.019 0.000
-0.421 0.000 5.049
P Pb Cl
2 1 1
direct
0.232 0.000 0.360
0.768 0.000 0.640
0.000 0.500 0.500
0.500 0.500 0.000
```

Entry 4:
Entry from the Alexandria database: a relaxed structure of SrAlPd2 (GGA-PBE).

- DFT formation energy: -595 meV per atom
- Symmetry: P4/mmm
- Size of the total moment: 0.00 μB per formula unit
- Calculated total energy: -4.548 eV per atom
- Mass density: 7.04 g cm⁻³

Structure (POSCAR):
```
SrAlPd2
1.0
3.230 0.000 0.000
0.000 3.230 0.000
0.000 0.000 7.408
Sr Al Pd
1 1 2
direct
0.000 0.000 0.000
0.000 0.000 0.500
0.500 0.500 0.311
0.500 0.500 0.689
```

Entry 5:
Entry from the Alexandria database: a relaxed structure of TmNpTeO6 (GGA-PBE).

- Symmetry: P-31c
- Size of the total moment: 2.00 μB per formula unit
- Calculated total energy: -7.926 eV per atom
- Mass density: 8.13 g cm⁻³

Structure (POSCAR):
```
TmNpTeO6
1.0
5.688 0.000 0.000
-2.844 4.926 0.000
0.000 0.000 9.182
Tm Np Te O
2 2 2 12
direct
0.333 0.667 0.250
0.667 0.333 0.750
0.333 0.667 0.750
0.667 0.333 0.250
0.000 0.000 0.000
0.000 0.000 0.500
0.013 0.340 0.629
0.013 0.674 0.871
0.326 0.340 0.871
0.326 0.987 0.629
0.340 0.013 0.129
0.340 0.326 0.371
0.660 0.674 0.629
0.660 0.987 0.871
0.674 0.013 0.371
0.674 0.660 0.129
0.987 0.326 0.129
0.987 0.660 0.371
```

Entry 6:
Entry from the Alexandria database: a relaxed structure of Tm4CoI5 (GGA-PBE).

- Symmetry: C2/m
- Size of the total moment: 0.00 μB per formula unit
- Calculated total energy: -4.273 eV per atom
- Mass density: 6.85 g cm⁻³

Structure (POSCAR):
```
Tm4CoI5
1.0
9.719 -2.001 0.000
9.719 2.001 0.000
-1.874 0.000 8.538
Tm Co I
4 1 5
direct
0.000 0.000 0.194
0.000 0.000 0.806
0.363 0.363 0.931
0.637 0.637 0.069
0.500 0.500 0.000
0.167 0.167 0.343
0.177 0.177 0.830
0.500 0.500 0.500
0.823 0.823 0.170
0.833 0.833 0.657
```

Entry 7:
Entry from the Alexandria database: a relaxed structure of Ce3Tl4CrS8 (GGA-PBE).

- Symmetry: R-3m
- Size of the total moment: 2.01 μB per formula unit
- Calculated total energy: -5.519 eV per atom
- Mass density: 6.04 g cm⁻³

Structure (POSCAR):
```
Ce3Tl4CrS8
1.0
4.049 2.338 7.492
-4.049 2.338 7.492
0.000 -4.675 7.492
Ce Tl Cr S
3 4 1 8
direct
0.000 0.500 0.500
0.500 0.000 0.500
0.500 0.500 0.000
0.000 0.000 0.500
0.000 0.500 0.000
0.500 0.000 0.000
0.500 0.500 0.500
0.000 0.000 0.000
0.221 0.221 0.750
0.221 0.750 0.221
0.250 0.779 0.779
0.265 0.265 0.265
0.735 0.735 0.735
0.750 0.221 0.221
0.779 0.250 0.779
0.779 0.779 0.250
```

Entry 8:
Entry from the Alexandria database: a relaxed structure of Pu2TiGe6Rh (GGA-PBE).

- DFT formation energy: -379 meV per atom
- Symmetry: R-3m
- Size of the total moment: 10.74 μB per formula unit
- Calculated total energy: -7.541 eV per atom
- Mass density: 8.75 g cm⁻³

Structure (POSCAR):
```
Pu2TiGe6Rh
1.0
3.105 1.793 12.205
-3.105 1.793 12.205
0.000 -3.586 12.205
Pu Ti Ge Rh
4 2 12 2
direct
0.125 0.125 0.125
0.295 0.295 0.295
0.705 0.705 0.705
0.875 0.875 0.875
0.000 0.000 0.000
0.500 0.500 0.500
0.062 0.661 0.661
0.232 0.232 0.655
0.232 0.655 0.232
0.339 0.339 0.938
0.339 0.938 0.339
0.345 0.768 0.768
0.655 0.232 0.232
0.661 0.062 0.661
0.661 0.661 0.062
0.768 0.345 0.768
0.768 0.768 0.345
0.938 0.339 0.339
0.428 0.428 0.428
0.572 0.572 0.572
```

Entry 9:
Entry from the Alexandria database: a relaxed structure of La2PuScS4 (GGA-PBE).

- Symmetry: P2/m
- Size of the total moment: 5.69 μB per formula unit
- Calculated total energy: -7.846 eV per atom
- Mass density: 6.41 g cm⁻³

Structure (POSCAR):
```
La2PuScS4
1.0
6.888 0.000 0.000
0.000 3.963 0.000
-2.268 0.000 6.599
La Pu Sc S
2 1 1 4
direct
0.000 0.000 0.000
0.500 0.500 0.000
0.000 0.500 0.500
0.500 0.000 0.500
0.251 0.000 0.728
0.268 0.500 0.278
0.732 0.500 0.722
0.749 0.000 0.272
```

Entry 10:
Entry from the Alexandria database: a relaxed structure of Pa3BeC3 (GGA-PBE).

- DFT formation energy: -266 meV per atom
- Symmetry: P6_3/m
- Size of the total moment: 0.99 μB per formula unit
- Calculated total energy: -8.821 eV per atom
- Mass density: 11.11 g cm⁻³

Structure (POSCAR):
```
Pa3BeC3
1.0
7.068 0.000 0.000
-3.534 6.121 0.000
0.000 0.000 5.102
Pa Be C
6 2 6
direct
0.073 0.355 0.250
0.282 0.927 0.250
0.355 0.282 0.750
0.645 0.718 0.250
0.718 0.073 0.750
0.927 0.645 0.750
0.333 0.667 0.750
0.667 0.333 0.250
0.084 0.400 0.750
0.316 0.916 0.750
0.400 0.316 0.250
0.600 0.684 0.750
0.684 0.084 0.250
0.916 0.600 0.250
```

Entry 11:
Entry from the Alexandria database: a relaxed structure of CsBeZnCO (GGA-PBE).

- Symmetry: Cm
- Size of the total moment: 0.98 μB per formula unit
- Calculated total energy: -4.315 eV per atom
- Mass density: 4.65 g cm⁻³

Structure (POSCAR):
```
CsBeZnCO
1.0
12.724 0.000 0.000
0.000 3.458 0.000
-0.720 0.000 3.824
Cs Be Zn C O
2 2 2 2 2
direct
0.000 0.000 0.000
0.500 0.500 0.000
0.249 0.500 0.314
0.749 0.000 0.314
0.241 0.000 0.746
0.741 0.500 0.746
0.290 0.000 0.265
0.790 0.500 0.265
0.151 0.500 0.524
0.651 0.000 0.524
```

Entry 12:
Entry from the Alexandria database: a relaxed structure of PmSmGa (GGA-PBE).

- DFT formation energy: -272 meV per atom
- Symmetry: P3m1
- Size of the total moment: 0.00 μB per formula unit
- Calculated total energy: -4.437 eV per atom
- Mass density: 7.29 g cm⁻³

Structure (POSCAR):
```
PmSmGa
1.0
5.024 0.000 0.000
-2.512 4.351 0.000
0.000 0.000 3.803
Pm Sm Ga
1 1 1
direct
0.000 0.000 0.000
0.667 0.333 0.555
0.333 0.667 0.290
```